A plane-wave DFT calculation with PBE was carried out for a relaxed KCaBiBr6 crystal.

Unit cell a=7.5127 b=7.5127 c=14.5369 alpha=90.00 beta=90.00 gamma=120.00
Space group P-31c (No. 163)
Symmetry-distinct sites (fractional):
K (0.0000, 0.0000, 0.0000)
Ca (0.3333, 0.6667, 0.2500)
Bi (0.3333, 0.6667, 0.7500)
Br (0.0027, 0.3687, 0.6357)

## Properties
- total DFT energy (no corrections) (eV/atom) = -3.3103